## LiLa4CoO8 (meta-GGA SCAN)

Data for LiLa4CoO8 at its PBEsol-relaxed geometry.

a = 5.2521 Å, b = 5.2521 Å, c = 13.3450 Å
α = 101.35°, β = 101.35°, γ = 90.00°
Site moments in Bohr magnetons follow the coordinates.
Sites, in units of the cell vectors:
Li (0.0000, 0.0000, 0.0000)  0.00
Li (0.2500, 0.7500, 0.5000)  0.00
La (0.6819, 0.6819, 0.3639)  0.01
La (0.5681, 0.0681, 0.1361)  0.01
La (0.9319, 0.4319, 0.8639)  0.01
La (0.3181, 0.3181, 0.6361)  0.01
La (0.8190, 0.8190, 0.6380)  0.00
La (0.4310, 0.9310, 0.8620)  0.00
La (0.0690, 0.5690, 0.1380)  0.00
La (0.1810, 0.1810, 0.3620)  0.00
Co (0.5000, 0.5000, 0.0000)  1.66
Co (0.7500, 0.2500, 0.5000)  1.66
O (0.9102, 0.9102, 0.8204)  0.00
O (0.1602, 0.6602, 0.3204)  0.00
O (0.3398, 0.8398, 0.6796)  0.00
O (0.0898, 0.0898, 0.1796)  0.00
O (0.5892, 0.5892, 0.1783)  0.07
O (0.6608, 0.1608, 0.3217)  0.07
O (0.8392, 0.3392, 0.6783)  0.07
O (0.4108, 0.4108, 0.8217)  0.07
O (0.5044, 0.0044, 0.5000)  0.02
O (0.2544, 0.7456, 0.0000)  0.02
O (0.7456, 0.7456, 0.0000)  0.02
O (0.5044, 0.4956, 0.5000)  0.02
O (0.2544, 0.2544, 0.0000)  0.02
O (0.9956, 0.0044, 0.5000)  0.02
O (0.7456, 0.2544, 0.0000)  0.02
O (0.9956, 0.4956, 0.5000)  0.02

Output
- Raw total energy: -573.37 eV for the cell shown
- E_form (uncorrected): -3.194 eV per atom

## La3MgCo (meta-GGA SCAN)

Data for La3MgCo at its PBEsol-relaxed geometry.

a = 5.3063 Å, b = 5.3063 Å, c = 5.3063 Å
α = 90.00°, β = 90.00°, γ = 90.00°
Sites, in units of the cell vectors:
Mg (0.5000, 0.5000, 0.5000)
Co (0.0000, 0.0000, 0.0000)
La (0.0000, 0.5000, 0.0000)
La (0.0000, 0.0000, 0.5000)
La (0.5000, 0.0000, 0.0000)

Output
- D(E_F): 5.72 states/eV per cell
- Raw total energy: -151.89 eV for the cell shown
- Formation energy from the elements: -0.059 eV per atom

## La2MgCo (meta-GGA SCAN)

Data for La2MgCo at its PBEsol-relaxed geometry.

a = 3.4121 Å, b = 3.4121 Å, c = 8.6822 Å
α = 90.00°, β = 90.00°, γ = 89.97°
Site moments in Bohr magnetons follow the coordinates.
Sites, in units of the cell vectors:
Mg (0.5000, 0.5000, 0.5000)  -0.01
Co (0.5000, 0.5000, 0.0000)  -1.34
La (0.0000, 0.0000, 0.1901)  0.16
La (0.0000, 0.0000, 0.8099)  0.16

Output
- D(E_F): 2.76 states/eV per cell
- Raw total energy: -108.72 eV for the cell shown
- Formation energy from the elements: -0.057 eV per atom

## LaMgCo3 (meta-GGA SCAN)

Data for LaMgCo3 at its PBEsol-relaxed geometry.

a = 4.5135 Å, b = 4.5135 Å, c = 4.5135 Å
α = 90.00°, β = 90.00°, γ = 90.00°
Site moments in Bohr magnetons follow the coordinates.
Sites, in units of the cell vectors:
Mg (0.5000, 0.5000, 0.5000)  -0.02
Co (0.0000, 0.5000, 0.0000)  -1.24
Co (0.0000, 0.0000, 0.5000)  -1.24
Co (0.5000, 0.0000, 0.0000)  -1.24
La (0.0000, 0.0000, 0.0000)  0.23

Output
- D(E_F): 2.81 states/eV per cell
- Raw total energy: -93.05 eV for the cell shown
- Formation energy from the elements: 1.388 eV per atom

## La2MgCo (meta-GGA SCAN)

Data for La2MgCo at its PBEsol-relaxed geometry.

a = 3.8542 Å, b = 3.8536 Å, c = 9.0085 Å
α = 102.38°, β = 90.00°, γ = 120.00°
Sites, in units of the cell vectors:
Mg (0.0000, 0.0000, 0.5000)
Co (0.5000, 0.0000, 0.0000)
La (0.7743, 0.5486, 0.8222)
La (0.2257, 0.4514, 0.1778)

Output
- D(E_F): 2.81 states/eV per cell
- Raw total energy: -108.24 eV for the cell shown
- Formation energy from the elements: 0.062 eV per atom

## La2MgCo (meta-GGA SCAN)

Data for La2MgCo at its PBEsol-relaxed geometry.

a = 3.8208 Å, b = 5.5156 Å, c = 5.8055 Å
α = 118.36°, β = 109.21°, γ = 90.00°
Sites, in units of the cell vectors:
Co (0.0000, 0.5000, 0.0000)
La (0.6913, 0.6913, 0.3826)
La (0.3087, 0.3087, 0.6174)
Mg (0.5000, 0.0000, 0.0000)

Output
- D(E_F): 3.31 states/eV per cell
- Raw total energy: -108.03 eV for the cell shown
- Formation energy from the elements: 0.113 eV per atom

## La2MgCo (meta-GGA SCAN)

Data for La2MgCo at its PBEsol-relaxed geometry.

a = 3.3946 Å, b = 4.9410 Å, c = 6.5595 Å
α = 112.13°, β = 105.00°, γ = 90.00°
Sites, in units of the cell vectors:
Co (0.2468, 0.7468, 0.4936)
La (0.9332, 0.9332, 0.8663)
La (0.7530, 0.2530, 0.5060)
Mg (0.5670, 0.5670, 0.1341)

Output
- D(E_F): 3.31 states/eV per cell
- Raw total energy: -108.17 eV for the cell shown
- Formation energy from the elements: 0.079 eV per atom

## LaMg4Co (meta-GGA SCAN)

Data for LaMg4Co at its PBEsol-relaxed geometry.

a = 5.6839 Å, b = 5.6839 Å, c = 5.6839 Å
α = 60.00°, β = 60.00°, γ = 60.00°
Site moments in Bohr magnetons follow the coordinates.
Sites, in units of the cell vectors:
Co (0.7500, 0.7500, 0.7500)  -1.80
La (0.0000, 0.0000, 0.0000)  0.25
Mg (0.3763, 0.3763, 0.3763)  0.03
Mg (0.3763, 0.3763, 0.8711)  0.03
Mg (0.8711, 0.3763, 0.3763)  0.03
Mg (0.3763, 0.8711, 0.3763)  0.03

Output
- D(E_F): 2.56 states/eV per cell
- Raw total energy: -78.97 eV for the cell shown
- Formation energy from the elements: 0.223 eV per atom

## La2MgCo (meta-GGA SCAN)

Data for La2MgCo at its PBEsol-relaxed geometry.

a = 3.5780 Å, b = 3.8538 Å, c = 7.3829 Å
α = 99.55°, β = 90.00°, γ = 90.00°
Sites, in units of the cell vectors:
Mg (0.5000, 0.5000, 0.5000)
Co (0.5000, 0.5000, 0.0000)
La (0.0000, 0.0988, 0.8010)
La (0.0000, 0.9012, 0.1990)

Output
- D(E_F): 3.13 states/eV per cell
- Raw total energy: -108.36 eV for the cell shown
- Formation energy from the elements: 0.033 eV per atom

## LaMn2Co2 (meta-GGA SCAN)

Data for LaMn2Co2 at its PBEsol-relaxed geometry.

a = 3.9743 Å, b = 3.9743 Å, c = 5.5693 Å
α = 110.90°, β = 110.90°, γ = 90.00°
Site moments in Bohr magnetons follow the coordinates.
Sites, in units of the cell vectors:
Mn (0.2500, 0.7500, 0.5000)  3.17
Mn (0.7500, 0.2500, 0.5000)  3.17
Co (0.3785, 0.3785, 0.7570)  0.52
Co (0.6215, 0.6215, 0.2430)  0.52
La (0.0000, 0.0000, 0.0000)  -0.09

Output
- D(E_F): 5.26 states/eV per cell
- Raw total energy: -113.71 eV for the cell shown
- Formation energy from the elements: 0.103 eV per atom

## La2MnCo (meta-GGA SCAN)

Data for La2MnCo at its PBEsol-relaxed geometry.

a = 3.7061 Å, b = 3.7061 Å, c = 8.2218 Å
α = 76.97°, β = 76.97°, γ = 60.00°
Site moments in Bohr magnetons follow the coordinates.
Sites, in units of the cell vectors:
Co (0.0000, 0.0000, 0.0000)  0.08
La (0.2630, 0.2630, 0.2109)  -0.09
La (0.7370, 0.7370, 0.7891)  -0.09
Mn (0.5000, 0.5000, 0.5000)  4.05

Output
- D(E_F): 2.91 states/eV per cell
- ΔE to the lowest computed polymorph: 0.245 eV/atom
- Raw total energy: -120.67 eV for the cell shown
- Formation energy from the elements: 0.274 eV per atom

## La2MnCo (meta-GGA SCAN)

Data for La2MnCo at its PBEsol-relaxed geometry.

a = 3.4989 Å, b = 3.4997 Å, c = 7.1357 Å
α = 90.82°, β = 90.00°, γ = 90.00°
Site moments in Bohr magnetons follow the coordinates.
Sites, in units of the cell vectors:
Co (0.5000, 0.5000, 0.0000)  -1.45
La (0.0000, 0.0054, 0.7732)  0.24
La (0.0000, 0.9946, 0.2268)  0.24
Mn (0.5000, 0.5000, 0.5000)  -3.97

Output
- D(E_F): 2.66 states/eV per cell
- ΔE to the lowest computed polymorph: 0.000 eV/atom
- Raw total energy: -121.66 eV for the cell shown
- Formation energy from the elements: 0.028 eV per atom

## La2MnCo (meta-GGA SCAN)

Data for La2MnCo at its PBEsol-relaxed geometry.

a = 4.8267 Å, b = 4.8267 Å, c = 4.8267 Å
α = 60.00°, β = 60.00°, γ = 60.00°
Site moments in Bohr magnetons follow the coordinates.
Sites, in units of the cell vectors:
Co (0.5000, 0.5000, 0.5000)  1.48
La (0.0000, 0.0000, 0.0000)  -0.09
La (0.2500, 0.2500, 0.2500)  -0.23
Mn (0.7500, 0.7500, 0.7500)  3.90

Output
- D(E_F): 4.92 states/eV per cell
- ΔE to the lowest computed polymorph: 0.209 eV/atom
- Raw total energy: -120.82 eV for the cell shown
- Formation energy from the elements: 0.238 eV per atom

## La2CoMo (meta-GGA SCAN)

Data for La2CoMo at its PBEsol-relaxed geometry.

a = 3.4566 Å, b = 4.8495 Å, c = 6.1781 Å
α = 113.11°, β = 106.24°, γ = 90.00°
Sites, in units of the cell vectors:
Mo (0.5612, 0.5612, 0.1224)
Co (0.1938, 0.6938, 0.3876)
La (0.9747, 0.9747, 0.9494)
La (0.7703, 0.2703, 0.5406)

Output
- D(E_F): 3.61 states/eV per cell
- ΔE to the lowest computed polymorph: 0.000 eV/atom
- Raw total energy: -137.18 eV for the cell shown
- Formation energy from the elements: 0.304 eV per atom

## LaCo3Mo (meta-GGA SCAN)

Data for LaCo3Mo at its PBEsol-relaxed geometry.

a = 4.4495 Å, b = 4.4495 Å, c = 4.4495 Å
α = 90.00°, β = 90.00°, γ = 90.00°
Sites, in units of the cell vectors:
Mo (0.0000, 0.0000, 0.0000)
Co (0.0000, 0.5000, 0.0000)
Co (0.0000, 0.0000, 0.5000)
Co (0.5000, 0.0000, 0.0000)
La (0.5000, 0.5000, 0.5000)

Output
- D(E_F): 6.30 states/eV per cell
- Raw total energy: -125.91 eV for the cell shown
- Formation energy from the elements: 0.800 eV per atom

## LaCo2Mo (meta-GGA SCAN)

Data for LaCo2Mo at its PBEsol-relaxed geometry.

a = 3.0661 Å, b = 3.0661 Å, c = 6.9121 Å
α = 90.00°, β = 90.00°, γ = 90.00°
Site moments in Bohr magnetons follow the coordinates.
Sites, in units of the cell vectors:
Mo (0.5000, 0.5000, 0.8370)  -0.28
Co (0.0000, 0.0000, 0.0008)  1.52
Co (0.5000, 0.5000, 0.1816)  1.36
La (0.0000, 0.0000, 0.4806)  -0.15

Output
- D(E_F): 3.50 states/eV per cell
- Raw total energy: -110.88 eV for the cell shown
- Formation energy from the elements: 0.430 eV per atom

## La2CoMo (meta-GGA SCAN)

Data for La2CoMo at its PBEsol-relaxed geometry.

a = 3.2414 Å, b = 3.7029 Å, c = 7.0708 Å
α = 90.00°, β = 90.00°, γ = 90.00°
Site moments in Bohr magnetons follow the coordinates.
Sites, in units of the cell vectors:
Mo (0.5000, 0.5000, 0.0000)  1.56
Co (0.5000, 0.5000, 0.5000)  1.49
La (0.0000, 0.0000, 0.7316)  -0.10
La (0.0000, 0.0000, 0.2684)  -0.10

Output
- D(E_F): 3.62 states/eV per cell
- ΔE to the lowest computed polymorph: 0.200 eV/atom
- Raw total energy: -136.38 eV for the cell shown
- Formation energy from the elements: 0.504 eV per atom

## LaCoN3 (meta-GGA SCAN)

Data for LaCoN3 at its PBEsol-relaxed geometry.

a = 4.0041 Å, b = 5.6615 Å, c = 7.3936 Å
α = 102.02°, β = 90.00°, γ = 110.71°
Sites, in units of the cell vectors:
N (0.3660, 0.7320, 0.0253)
N (0.6340, 0.2680, 0.9747)
N (0.6057, 0.2113, 0.3810)
N (0.3503, 0.7006, 0.4575)
N (0.3943, 0.7887, 0.6190)
N (0.6497, 0.2994, 0.5425)
Co (0.5404, 0.0808, 0.1546)
Co (0.4596, 0.9192, 0.8454)
La (0.8353, 0.6706, 0.2007)
La (0.1647, 0.3294, 0.7993)

Output
- Raw total energy: -183.00 eV for the cell shown
- E_form (uncorrected): -0.644 eV per atom

## LaCoNO2 (meta-GGA SCAN)

Data for LaCoNO2 at its PBEsol-relaxed geometry.

a = 3.5079 Å, b = 3.9333 Å, c = 3.9333 Å
α = 90.00°, β = 90.00°, γ = 90.00°
Site moments in Bohr magnetons follow the coordinates.
Sites, in units of the cell vectors:
N (0.5000, 0.0000, 0.0000)  -0.13
Co (0.0000, 0.0000, 0.0000)  -1.01
O (0.0000, 0.0000, 0.5000)  0.04
O (0.0000, 0.5000, 0.0000)  0.04
La (0.5000, 0.5000, 0.5000)  -0.02

Output
- D(E_F): 1.88 states/eV per cell
- Raw total energy: -91.04 eV for the cell shown
- E_form (uncorrected): -1.775 eV per atom

## LaCoSeN2 (meta-GGA SCAN)

Data for LaCoSeN2 at its PBEsol-relaxed geometry.

a = 3.9629 Å, b = 3.9629 Å, c = 4.6340 Å
α = 90.00°, β = 90.00°, γ = 90.00°
Site moments in Bohr magnetons follow the coordinates.
Sites, in units of the cell vectors:
N (0.0000, 0.5000, 0.0000)  0.72
N (0.5000, 0.0000, 0.0000)  0.72
Co (0.0000, 0.0000, 0.0000)  0.45
Se (0.0000, 0.0000, 0.5000)  0.08
La (0.5000, 0.5000, 0.5000)  -0.02

Output
- D(E_F): 1.60 states/eV per cell
- Raw total energy: -99.67 eV for the cell shown
- E_form (uncorrected): -0.120 eV per atom